This record from the Alexandria database describes an optimized crystal structure of CdHgP2. The functional is PBE.

Calculated values
- Polymorph energy (0 for the lowest one): 0.512 eV per atom

Lattice parameters (Å, degrees): 3.274 3.274 7.905 90.00 90.00 107.02
Fractional coordinates of all 4 atoms:
Hg 0.500 0.500 0.750
Cd 0.500 0.500 0.250
P 0.000 0.000 0.494
P 0.000 0.000 0.006



This record from the Alexandria database describes an optimized crystal structure of Ba2UZnS5. The functional is PBE.

Calculated values
- Raw formation energy: -14.33 eV per formula unit

Lattice parameters (Å, degrees): 4.127 9.288 12.920 90.00 90.00 102.84
Each line ends with the local moment (μB).
Fractional coordinates of all 18 atoms:
Ba 0.876 0.752 0.822  0.00
Ba 0.124 0.248 0.322  0.00
Ba 0.887 0.774 0.189  0.00
Ba 0.113 0.226 0.689  0.00
U 0.798 0.596 0.519  2.05
U 0.202 0.404 0.019  2.05
S 0.293 0.586 0.657  -0.05
S 0.347 0.694 0.008  -0.04
S 0.947 0.894 0.534  -0.03
S 0.707 0.414 0.157  -0.05
S 0.309 0.618 0.378  -0.04
S 0.653 0.306 0.508  -0.04
S 0.053 0.106 0.034  -0.03
S 0.500 0.001 0.780  0.00
S 0.691 0.382 0.878  -0.04
S 0.500 0.999 0.280  0.00
Zn 0.442 0.884 0.437  0.00
Zn 0.558 0.116 0.937  0.00



Number 1: ρ 7.68 g cm⁻³, V 81.02 Å³/cell. Number 2: ρ 5.08 g cm⁻³, V 482.90 Å³/cell.